This record from the Alexandria database describes a geometry-optimized Ca2BP structure. The functional is PBEsol.

- Energy of formation: 25.94 kJ/mol of atoms

Lattice parameters (Å, degrees): 6.0788 6.0788 6.0788 105.88 105.88 116.91
With the nearest neighbours (Å) after each atom.
Sites, in units of the cell vectors:
Ca1 0.1112 0.1250 0.4862  2 B 2.64, 2 P 2.78
Ca2 0.3750 0.8888 0.0138  2 B 2.64, 2 P 2.78
Ca3 0.6388 0.6250 0.5138  2 B 2.64, 2 P 2.78
Ca4 0.8750 0.3612 0.9862  2 B 2.64, 2 P 2.78
B1 0.0000 0.0000 0.0000  4 Ca 2.64
B2 0.7500 0.2500 0.5000  4 Ca 2.64
P1 0.2500 0.7500 0.5000  4 Ca 2.78
P2 0.5000 0.5000 0.0000  4 Ca 2.78

This record from the Alexandria database describes a geometry-optimized RuSe structure. The functional is PBEsol.

Lattice parameters (Å, degrees): 9.3034 9.3034 9.3034 18.53 18.53 18.53
With the nearest neighbours (Å) after each atom.
Sites, in units of the cell vectors:
Ru1 0.1252 0.1252 0.1252  3 Se 2.41
Ru2 0.8748 0.8748 0.8748  3 Se 2.41
Se1 0.3976 0.3976 0.3976  3 Ru 2.41
Se2 0.6024 0.6024 0.6024  3 Ru 2.41

This record from the Alexandria database describes a geometry-optimized CeEr3 structure. The functional is PBEsol.

- Energy of formation: 9.31 kJ/mol of atoms

Lattice parameters (Å, degrees): 6.9404 6.9404 5.5225 90.00 90.00 120.00
With the nearest neighbours (Å) after each atom.
Sites, in units of the cell vectors:
Ce1 0.3333 0.6667 0.2500  12 Er 3.40-3.47
Ce2 0.6667 0.3333 0.7500  12 Er 3.40-3.47
Er1 0.1677 0.3354 0.7500  4 Ce 3.40-3.47, 8 Er 3.42-3.49
Er2 0.1677 0.8323 0.7500  4 Ce 3.40-3.47, 8 Er 3.42-3.49
Er3 0.3354 0.1677 0.2500  4 Ce 3.40-3.47, 8 Er 3.42-3.49
Er4 0.6646 0.8323 0.7500  4 Ce 3.40-3.47, 8 Er 3.42-3.49
Er5 0.8323 0.1677 0.2500  4 Ce 3.40-3.47, 8 Er 3.42-3.49
Er6 0.8323 0.6646 0.2500  4 Ce 3.40-3.47, 8 Er 3.42-3.49

This record from the Alexandria database describes a geometry-optimized LiMg2Cd structure. The functional is PBEsol.

- Energy of formation: -11.09 kJ/mol of atoms

Lattice parameters (Å, degrees): 3.0175 4.6912 5.8339 90.00 104.40 90.00
With the nearest neighbours (Å) after each atom.
Sites, in units of the cell vectors:
Li1 0.0000 0.0000 0.0000  2 Cd 2.79, 4 Mg 2.93-2.97, 2 Li 3.02
Mg1 0.4034 0.0000 0.5187  2 Li 2.93-2.97, 4 Cd 3.01-3.19, 4 Mg 3.02-3.17
Mg2 0.7138 0.5000 0.2291  4 Li 2.93-3.24, 3 Cd 2.95-3.22, 4 Mg 3.02-3.17
Cd1 0.0789 0.5000 0.7553  2 Li 2.79, 4 Mg 2.95-3.01, 2 Cd 3.02

Computed values of DFT total energy (unit: eV/atom) for the preceding records, in sequence: -4.000 -6.925 -5.248 -1.764.
Computed values of size of the total moment (unit: μB/f.u.) for the preceding records, in sequence: 0.001 0.001 0.000 0.000.